## UTl2NiSe4 (PBE)

Data for a relaxed structure of UTl2NiSe4.

Lattice parameters (Å, degrees): 6.527 6.527 6.527 111.00 108.71 108.71
Element x y z (fractional)
Se 0.419 0.812 0.766
Se 0.953 0.607 0.188
Tl 0.500 0.750 0.250
Ni 0.000 0.500 0.500
Tl 0.000 0.000 0.000
Se 0.047 0.234 0.654
U 0.500 0.250 0.750
Se 0.581 0.346 0.393

Computed properties:
Total DFT energy (no corrections): -4.8920 eV/atom
Uncorrected formation energy: -424 meV per atom
Magnetization: 0.244 μB/atom
Space group: No. 82

=====

## UTl3Ni2Se6 (PBE)

Data for a relaxed structure of UTl3Ni2Se6.

Lattice parameters (Å, degrees): 6.333 6.333 8.613 97.09 97.09 119.91
Element x y z (fractional)
Se 0.574 0.941 0.822
U 0.000 0.000 0.000
Se 0.693 0.693 0.176
Tl 0.163 0.837 0.500
Se 0.307 0.307 0.824
Ni 0.333 0.667 0.000
Ni 0.667 0.333 0.000
Se 0.059 0.426 0.178
Tl 0.500 0.500 0.500
Tl 0.837 0.163 0.500
Se 0.941 0.574 0.822
Se 0.426 0.059 0.178

Computed properties:
Total DFT energy (no corrections): -4.7280 eV/atom
Uncorrected formation energy: -490 meV per atom
Magnetization: 0.097 μB/atom
Space group: No. 12

=====

## TlNiW2Se8 (PBE)

Data for a relaxed structure of TlNiW2Se8.

Lattice parameters (Å, degrees): 6.321 6.321 10.264 72.07 72.07 60.00
Element x y z (fractional)
Se 0.728 0.068 0.846
Se 0.068 0.359 0.846
Se 0.176 0.176 0.471
Tl 0.500 0.500 0.500
Se 0.932 0.641 0.154
W 0.743 0.743 0.771
Se 0.359 0.728 0.846
Se 0.641 0.272 0.154
W 0.257 0.257 0.229
Se 0.272 0.932 0.154
Se 0.824 0.824 0.529
Ni 0.000 0.000 0.000

Computed properties:
Total DFT energy (no corrections): -5.2929 eV/atom
Uncorrected formation energy: -132 meV per atom
Magnetization: 0.048 μB/atom
Space group: No. 148

=====

## ZrTl2Ni2Se4 (PBE)

Data for a relaxed structure of ZrTl2Ni2Se4.

Lattice parameters (Å, degrees): 3.784 8.170 7.196 105.59 105.25 90.00
Element x y z (fractional)
Se 0.520 0.768 0.040
Se 0.800 0.831 0.600
Se 0.480 0.232 0.960
Tl 0.863 0.442 0.725
Ni 0.325 0.012 0.650
Se 0.200 0.169 0.400
Zr 0.000 0.000 0.000
Tl 0.137 0.558 0.275
Ni 0.675 0.988 0.350

Computed properties:
Total DFT energy (no corrections): -4.9531 eV/atom
Uncorrected formation energy: -644 meV per atom
Magnetization: 0.000 μB/atom
Space group: No. 12